DFT (PBE) results for a geometry-optimized Na3Tb3ScTe8 structure.

Values from the calculation:
- ΔE_f (raw) (eV/atom) = -1.222
- calculated total energy (eV per atom) = -4.510
- crystal system = trigonal
- total magnetic moment (Bohr magnetons per cell) = 0.0
- DOS at the Fermi energy (states/eV/cell) = 15.547

Cell: 8.6587 8.6587 23.2479 Å, 90.00 90.00 120.00°
Space group R-3m (No. 166, hexagonal axes)
Unique sites:
Na 0.0000 0.5000 0.0000 x9
Tb 0.0000 0.5000 0.5000 x9
Sc 0.0000 0.0000 0.5000 x3
Te 0.0000 0.0000 0.2450 x6
Te 0.0114 0.5057 0.2419 x18

---

DFT (PBE) results for a geometry-optimized KIn8Ge2 structure.

Values from the calculation:
- calculated total energy (eV per atom) = -2.805
- crystal system = tetragonal
- total magnetic moment (Bohr magnetons per cell) = 0.0
- DOS at the Fermi energy (states/eV/cell) = 5.551
- E_form (kJ/mol of atoms) = 12

Cell: 6.249 6.249 10.118 Å, 90.00 90.00 90.00°
Space group P4/mmm (No. 123)
Unique sites:
K 0.000 0.000 0.000 x1
In 0.252 0.252 0.304 x8
Ge 0.000 0.500 0.500 x2

---

DFT (PBE) results for a geometry-optimized Tl2SiSb structure.

Values from the calculation:
- ΔE_f (raw) (eV/atom) = 0.386
- calculated total energy (eV per atom) = -3.184
- crystal system = orthorhombic
- total magnetic moment (Bohr magnetons per cell) = 0.0
- DOS at the Fermi energy (states/eV/cell) = 1.488

Cell: 3.244 5.384 6.174 Å, 90.00 90.00 90.00°
Space group Pmmm (No. 47)
Unique sites:
Tl 0.000 0.000 0.246 x2
Si 0.500 0.500 0.000 x1
Sb 0.500 0.500 0.500 x1

---

DFT (PBE) results for a geometry-optimized Os2RhBr structure.

Values from the calculation:
- ΔE_f (raw) (eV/atom) = 1.660
- calculated total energy (eV per atom) = -6.211
- crystal system = tetragonal
- total magnetic moment (Bohr magnetons per cell) = 0.0
- DOS at the Fermi energy (states/eV/cell) = 17.461

Cell: 6.055 6.055 9.224 Å, 90.00 90.00 90.00°
Space group I-42d (No. 122)
Unique sites:
Os 0.241 0.250 0.125 x8
Rh 0.000 0.000 0.000 x4
Br 0.000 0.000 0.500 x4